Record 1
KCrNi: relaxed, GGA-PBE.

```
KCrNi
1.0
0.000 3.343 3.343
3.343 0.000 3.343
3.343 3.343 0.000
K Cr Ni
1 1 1
direct
0.000 0.000 0.000
0.500 0.500 0.500
0.750 0.750 0.750
```

volume	75	Å³/cell
formation energy from the elements	1301	meV/atom
excess energy over the best structure of this formula in the dataset	0.554	eV per atom
DOS at the Fermi energy	1.5634	states/eV/atom
final energy	-4.199	eV per atom

***

Record 2
KCr2Ni: relaxed, GGA-PBE.

```
KCr2Ni
1.0
-2.850 2.850 7.550
2.850 -2.850 7.550
2.850 2.850 -7.550
K Cr Ni
2 4 2
direct
0.375 0.625 0.750
0.625 0.375 0.250
0.000 0.000 0.000
0.000 0.000 0.500
0.000 0.500 0.000
0.500 0.000 0.500
0.125 0.875 0.250
0.875 0.125 0.750
```

volume	245	Å³/cell
formation energy from the elements	1255	meV/atom
excess energy over the best structure of this formula in the dataset	0.579	eV per atom
DOS at the Fermi energy	1.1990	states/eV/atom
final energy	-5.277	eV per atom

***

Record 3
KCrNi2: relaxed, GGA-PBE.

```
KCrNi2
1.0
-1.383 2.694 4.808
1.383 -2.694 4.808
1.383 2.694 -4.808
K Cr Ni
1 1 2
direct
0.000 0.000 0.000
0.500 0.500 0.000
0.294 0.794 0.500
0.706 0.206 0.500
```

volume	72	Å³/cell
formation energy from the elements	983	meV/atom
excess energy over the best structure of this formula in the dataset	0.473	eV per atom
DOS at the Fermi energy	1.5893	states/eV/atom
final energy	-4.588	eV per atom

***

Record 4
KCrNi2: relaxed, GGA-PBE.

```
KCrNi2
1.0
3.871 -1.289 0.000
3.871 1.289 0.000
-0.385 0.000 7.125
K Cr Ni
1 1 2
direct
0.000 0.000 0.000
0.500 0.500 0.500
0.240 0.240 0.646
0.760 0.760 0.354
```

volume	71	Å³/cell
formation energy from the elements	651	meV/atom
excess energy over the best structure of this formula in the dataset	0.141	eV per atom
DOS at the Fermi energy	1.1917	states/eV/atom
final energy	-4.920	eV per atom

***

Record 5
KCrNi3: relaxed, GGA-PBE.

```
KCrNi3
1.0
4.481 0.000 0.000
0.000 4.481 0.000
0.000 0.000 4.481
K Cr Ni
1 1 3
direct
0.000 0.000 0.000
0.500 0.500 0.500
0.000 0.000 0.500
0.000 0.500 0.000
0.500 0.000 0.000
```

volume	90	Å³/cell
formation energy from the elements	2138	meV/atom
excess energy over the best structure of this formula in the dataset	1.114	eV per atom
DOS at the Fermi energy	0.6633	states/eV/atom
final energy	-3.475	eV per atom

***

Record 6
K2CrNi: relaxed, GGA-PBE.

```
K2CrNi
1.0
3.334 0.000 0.000
0.000 3.334 0.000
0.000 0.000 10.374
K Cr Ni
2 1 1
direct
0.000 0.000 0.214
0.000 0.000 0.786
0.500 0.500 0.500
0.500 0.500 0.000
```

volume	115	Å³/cell
formation energy from the elements	1115	meV/atom
excess energy over the best structure of this formula in the dataset	0.461	eV per atom
DOS at the Fermi energy	1.0537	states/eV/atom
final energy	-3.285	eV per atom